SeBrCl4 | GGA-PBE | relaxed

a = 8.3369 Å, b = 8.3369 Å, c = 8.3369 Å
α = 90.00°, β = 90.00°, γ = 90.00°
Closest atoms and distances in Å follow each position.
Space group F-43m (No. 216)
Symmetry-distinct sites (fractional):
Se 0.0000 0.0000 0.0000 [4 per cell]  12 Cl 3.46, 4 Br 3.61
Br 0.2500 0.2500 0.7500 [4 per cell]  12 Cl 3.46, 4 Se 3.61
Cl 0.1250 0.1250 0.3750 [16 per cell]  6 Cl 2.95

Properties
The energy above the most stable polymorph in this dataset is 0.817 eV per atom. The value obtained for the total magnetization is 0.551 μB per atom. The value obtained for the total energy is -28.1 eV/cell. The formation energy without anion corrections comes out at 89 kJ/mol of atoms.